Density functional theory data (PBEsol) for a relaxed TcPtRh2 crystal.

Cell: 2.6820 2.6820 7.7221 Å, 90.00 90.00 90.00°
With the nearest neighbours (Å) after each atom.
Space group P4mm (No. 99)
Asymmetric unit:
Tc: 0.0000 0.0000 0.0000 (multiplicity 1)  4 Rh 2.65, 4 Tc 2.68, 4 Pt 2.72
Pt: 0.5000 0.5000 0.2518 (multiplicity 1)  4 Pt 2.68, 4 Tc 2.72, 4 Rh 2.76
Rh: 0.0000 0.0000 0.5117 (multiplicity 1)  8 Rh 2.68-2.70, 4 Pt 2.76
Rh: 0.5000 0.5000 0.7604 (multiplicity 1)  4 Tc 2.65, 8 Rh 2.68-2.70

Values from the calculation:
- Calculated formation energy: -97 meV/atom
- Mass density: 14.91 g cm⁻³
- Fermi-level density of states: 1.27 states/eV/atom
- M_tot: 0.00 μB per formula unit